The following is a DFT calculation (PBE-GGA) of crystalline Tb2Pr2H9 at its relaxed geometry.

a b c (Å): 6.5816 6.5816 6.5816
angles (deg): 132.52 132.52 69.40
Closest atoms and distances in Å follow each position.
Atoms (fractional coordinates):
Tb: 0.2475 0.2475 0.0000  8 H 2.22-2.27
Tb: 0.7525 0.7525 0.0000  8 H 2.22-2.27
Pr: 0.0000 0.5000 0.5000  10 H 2.38-2.65
Pr: 0.5000 0.0000 0.5000  10 H 2.38-2.65
H: 0.0000 0.0000 0.0000  8 H 2.41, 4 Pr 2.65, 2 Tb 2.68
H: 0.1203 0.1203 0.5118  2 Tb 2.22-2.27, 2 Pr 2.38, 2 H 2.41-2.48
H: 0.1203 0.6086 0.0000  2 Tb 2.22-2.27, 2 Pr 2.38, 2 H 2.41-2.48
H: 0.3914 0.3914 0.5118  2 Tb 2.22-2.27, 2 Pr 2.38, 2 H 2.41-2.48
H: 0.3914 0.8797 0.0000  2 Tb 2.22-2.27, 2 Pr 2.38, 2 H 2.41-2.48
H: 0.6086 0.1203 0.0000  2 Tb 2.22-2.27, 2 Pr 2.38, 2 H 2.41-2.48
H: 0.6086 0.6086 0.4882  2 Tb 2.22-2.27, 2 Pr 2.38, 2 H 2.41-2.48
H: 0.8797 0.3914 0.0000  2 Tb 2.22-2.27, 2 Pr 2.38, 2 H 2.41-2.48
H: 0.8797 0.8797 0.4882  2 Tb 2.22-2.27, 2 Pr 2.38, 2 H 2.41-2.48

## Properties
Energy above the lowest structure with this stoichiometry, eV per formula unit: 0.000